## RbIn2AuI8 (GGA-PBE)

Data for a relaxed structure of RbIn2AuI8.

abc: 7.6844 7.6844 10.7543
angles: 90.00 90.00 120.00
Space group P-3 (No. 147)
Inequivalent atoms, fractional coordinates:
Rb  0.0000  0.0000  0.0000 x1
In  0.3333  0.6667  0.7491 x2
Au  0.0000  0.0000  0.5000 x1
I  0.0020  0.6884  0.3285 x6
I  0.3333  0.6667  0.0057 x2

## Properties
Calculated total energy (eV/atom): -2.40
E_form (uncorrected) (meV per atom): -554
Total magnetic moment (μB per atom): 0.000